# 1
{
  "formula": "Pm2SmEr7",
  "functional": "PBE",
  "state": "relaxed",
  "lattice_angstrom": [[5.887, -0.024, -1.725], [1.187, 8.686, -3.331], [-3.208, -0.402, 7.236]],
  "species": ["Er", "Er", "Pm", "Pm", "Er", "Er", "Er", "Er", "Er", "Sm"],
  "fractional_positions": [[0.500, 0.500, 0.000], [0.201, 0.402, 0.201], [0.399, 0.798, 0.398], [0.601, 0.202, 0.602], [0.899, 0.301, 0.400], [0.101, 0.699, 0.600], [0.700, 0.899, 0.199], [0.300, 0.101, 0.801], [0.799, 0.598, 0.799], [0.000, 0.000, 0.000]],
  "ef_mev_per_atom": 20,
  "de_polymorph_mev_per_atom": 0,
  "space_group": "P-1 (2)"
}



# 2
{
  "formula": "KMgRu2",
  "functional": "PBE",
  "state": "relaxed",
  "lattice_angstrom": [[2.849, -0.012, 0.000], [-1.250, 2.560, 0.000], [0.000, 0.000, 10.534]],
  "species": ["Ru", "Ru", "Mg", "K"],
  "fractional_positions": [[0.500, 0.500, 0.210], [0.000, 0.000, 0.014], [0.500, 0.500, 0.798], [0.000, 0.000, 0.477]],
  "ef_mev_per_atom": 757,
  "space_group": "Cmm2 (35)"
}



# 3
{
  "formula": "Er3InHS",
  "functional": "PBE",
  "state": "relaxed",
  "lattice_angstrom": [[-1.681, 2.478, -2.524], [-7.256, -3.492, 1.403], [0.118, 6.119, 5.927]],
  "species": ["H", "Er", "Er", "In", "Er", "In", "Er", "H", "S", "S", "Er", "Er"],
  "fractional_positions": [[0.750, 0.917, 0.397], [0.750, 0.179, 0.540], [0.750, 0.881, 0.124], [0.250, 0.172, 0.253], [0.750, 0.435, 0.177], [0.750, 0.828, 0.747], [0.250, 0.565, 0.823], [0.250, 0.083, 0.603], [0.750, 0.345, 0.852], [0.250, 0.655, 0.148], [0.250, 0.119, 0.876], [0.250, 0.821, 0.460]],
  "energy_ha_per_atom": -0.1804,
  "space_group": "P2_1/m (11)"
}



# 4
{
  "formula": "Ba3MgP",
  "functional": "PBE",
  "state": "relaxed",
  "lattice_angstrom": [[-2.436, -4.977, 2.965], [3.190, 1.532, 5.193], [-4.836, 3.518, 1.933]],
  "species": ["Ba", "Ba", "Mg", "P", "Ba"],
  "fractional_positions": [[0.000, 0.000, 0.500], [0.000, 0.500, 0.000], [0.500, 0.500, 0.500], [0.000, 0.000, 0.000], [0.500, 0.000, 0.000]],
  "ef_mev_per_atom": -400,
  "de_polymorph_mev_per_atom": 0,
  "space_group": "Pm-3m (221)"
}



# 5
{
  "formula": "ZnSb2Pt2",
  "functional": "PBE",
  "state": "relaxed",
  "lattice_angstrom": [[4.944, 0.000, 0.000], [0.000, 4.944, 0.000], [0.000, 0.000, 5.847]],
  "species": ["Sb", "Pt", "Pt", "Sb", "Zn"],
  "fractional_positions": [[0.000, 0.000, 0.000], [0.500, 0.000, 0.000], [0.000, 0.500, 0.000], [0.000, 0.000, 0.500], [0.500, 0.500, 0.500]],
  "de_polymorph_mev_per_atom": 986,
  "space_group": "P4/mmm (123)"
}



# 6
{
  "formula": "CaGeN2",
  "functional": "PBE",
  "state": "relaxed",
  "lattice_angstrom": [[-0.887, 3.844, 3.586], [-3.949, 2.116, -3.246], [-5.194, -4.410, 3.444]],
  "species": ["Ca", "N", "Ge", "N", "Ca", "Ca", "N", "N", "Ge", "N", "N", "Ge", "N", "N", "Ge", "Ca"],
  "fractional_positions": [[0.979, 0.569, 0.378], [0.854, 0.479, 0.087], [0.006, 0.560, 0.874], [0.854, 0.979, 0.413], [0.479, 0.931, 0.878], [0.979, 0.069, 0.122], [0.434, 0.108, 0.164], [0.934, 0.892, 0.836], [0.506, 0.440, 0.126], [0.354, 0.521, 0.913], [0.934, 0.392, 0.664], [0.506, 0.940, 0.374], [0.434, 0.608, 0.336], [0.354, 0.021, 0.587], [0.006, 0.060, 0.626], [0.479, 0.431, 0.622]],
  "energy_ha_per_atom": -0.2372,
  "space_group": "Pna2_1 (33)"
}



# 7
{
  "formula": "Ac3Ni2Hg4",
  "functional": "PBE",
  "state": "relaxed",
  "lattice_angstrom": [[-1.104, -0.842, -4.527], [0.305, -6.196, -1.399], [-8.566, -3.879, 0.334]],
  "species": ["Ac", "Hg", "Ac", "Ni", "Ni", "Hg", "Ac", "Hg", "Hg"],
  "fractional_positions": [[0.000, 0.000, 0.000], [0.281, 0.365, 0.074], [0.674, 0.298, 0.354], [0.392, 0.937, 0.279], [0.608, 0.063, 0.721], [0.719, 0.635, 0.926], [0.326, 0.702, 0.646], [0.954, 0.723, 0.369], [0.046, 0.277, 0.631]],
  "ef_mev_per_atom": -359,
  "space_group": "C2/m (12)"
}



# 8
{
  "formula": "Tb4PmAs5",
  "functional": "PBE",
  "state": "relaxed",
  "lattice_angstrom": [[4.086, 0.000, -0.788], [-0.303, 5.659, -1.571], [0.004, -0.001, 11.001]],
  "species": ["Tb", "As", "Pm", "As", "As", "Tb", "As", "As", "Tb", "Tb"],
  "fractional_positions": [[0.400, 0.400, 0.799], [0.000, 0.500, 0.000], [0.000, 0.000, 0.000], [0.602, 0.102, 0.204], [0.398, 0.898, 0.796], [0.201, 0.201, 0.402], [0.200, 0.700, 0.399], [0.800, 0.300, 0.601], [0.799, 0.799, 0.598], [0.600, 0.600, 0.201]],
  "ef_mev_per_atom": -1536,
  "space_group": "Immm (71)"
}